Record 1
Compound: CrReSiBr2
Source: Alexandria
Functional: GGA-PBE
Structure: optimized geometry

Unit cell a=4.8897 b=4.8897 c=5.1572 alpha=90.00 beta=90.00 gamma=90.00
Fractional positions:
Cr 0.0000 0.0000 0.0000
Re 0.5000 0.5000 0.5000
Si 0.0000 0.0000 0.5000
Br 0.0000 0.5000 0.0000
Br 0.5000 0.0000 0.0000

Summary:
Total moment in μB/cell: 7.577
ρ in g cm⁻³: 5.74
E_form (uncorrected) in eV per atom: 1.335

---

Record 2
Compound: TbSm4In
Source: Alexandria
Functional: GGA-PBE
Structure: optimized geometry

Unit cell a=4.1291 b=4.1291 c=11.1545 alpha=90.00 beta=90.00 gamma=90.00
Fractional positions:
Tb 0.0000 0.0000 0.0000
Sm 0.0000 0.0000 0.3523
Sm 0.0000 0.0000 0.6477
Sm 0.5000 0.5000 0.1677
Sm 0.5000 0.5000 0.8323
In 0.5000 0.5000 0.5000

Summary:
Total moment in μB/cell: 0.001
Total energy in eV per atom: -4.441
ρ in g cm⁻³: 7.64

---

Record 3
Compound: RbSrCd
Source: Alexandria
Functional: GGA-PBE
Structure: optimized geometry

Unit cell a=4.4357 b=4.4357 c=36.3247 alpha=90.00 beta=90.00 gamma=120.00
Fractional positions:
Rb 0.3333 0.6667 0.2850
Rb 0.3333 0.6667 0.4413
Rb 0.6667 0.3333 0.5587
Rb 0.6667 0.3333 0.7150
Sr 0.3333 0.6667 0.8255
Sr 0.3333 0.6667 0.9511
Sr 0.6667 0.3333 0.0489
Sr 0.6667 0.3333 0.1745
Cd 0.3333 0.6667 0.1121
Cd 0.3333 0.6667 0.6369
Cd 0.6667 0.3333 0.3631
Cd 0.6667 0.3333 0.8879

Summary:
Total moment in μB/cell: 0.006
Total energy in eV per atom: -1.182
ρ in g cm⁻³: 3.06

---

Record 4
Compound: Er2PdO4
Source: Alexandria
Functional: GGA-PBE
Structure: optimized geometry

Unit cell a=11.4081 b=3.4530 c=5.7783 alpha=90.00 beta=115.36 gamma=90.00
Fractional positions:
Er 0.2139 0.0000 0.2202
Er 0.2861 0.5000 0.7798
Er 0.7139 0.5000 0.2202
Er 0.7861 0.0000 0.7798
Pd 0.0000 0.5000 0.5000
Pd 0.5000 0.0000 0.5000
O 0.1318 0.5000 0.3498
O 0.1597 0.0000 0.8039
O 0.3403 0.5000 0.1961
O 0.3682 0.0000 0.6502
O 0.6318 0.0000 0.3498
O 0.6597 0.5000 0.8039
O 0.8403 0.0000 0.1961
O 0.8682 0.5000 0.6502

Summary:
Total moment in μB/cell: 0.000
ρ in g cm⁻³: 8.15
E_form (uncorrected) in eV per atom: -2.419

---

Record 5
Compound: Tb2MnPd6
Source: Alexandria
Functional: GGA-PBE
Structure: optimized geometry

Unit cell a=7.6076 b=7.6076 c=7.6076 alpha=151.55 beta=118.35 gamma=69.26
Fractional positions:
Tb 0.1535 0.1535 0.0000
Tb 0.8465 0.8465 0.0000
Mn 0.5000 0.5000 0.0000
Pd 0.1158 0.3349 0.7810
Pd 0.2713 0.0000 0.2713
Pd 0.4461 0.6651 0.7810
Pd 0.5539 0.3349 0.2190
Pd 0.7287 0.0000 0.7287
Pd 0.8842 0.6651 0.2190

Summary:
Total moment in μB/cell: 4.586
Total energy in eV per atom: -5.901
ρ in g cm⁻³: 9.20

---

Record 6
Compound: AlReHg
Source: Alexandria
Functional: GGA-PBE
Structure: optimized geometry

Unit cell a=6.2812 b=6.2812 c=6.2812 alpha=90.00 beta=90.00 gamma=90.00
Fractional positions:
Al 0.0000 0.0000 0.0000
Al 0.0000 0.5000 0.5000
Al 0.5000 0.0000 0.5000
Al 0.5000 0.5000 0.0000
Re 0.2500 0.2500 0.7500
Re 0.2500 0.7500 0.2500
Re 0.7500 0.2500 0.2500
Re 0.7500 0.7500 0.7500
Hg 0.0000 0.0000 0.5000
Hg 0.0000 0.5000 0.0000
Hg 0.5000 0.0000 0.0000
Hg 0.5000 0.5000 0.5000

Summary:
Total moment in μB/cell: 5.551
Total energy in eV per atom: -4.601
ρ in g cm⁻³: 11.09

---

Record 7
Compound: SiTc2Pb2
Source: Alexandria
Functional: GGA-PBE
Structure: optimized geometry

Unit cell a=3.5443 b=3.5443 c=17.5488 alpha=90.00 beta=90.00 gamma=90.00
Fractional positions:
Si 0.0000 0.0000 0.0000
Si 0.5000 0.5000 0.5000
Tc 0.0000 0.5000 0.2500
Tc 0.0000 0.5000 0.7500
Tc 0.5000 0.0000 0.2500
Tc 0.5000 0.0000 0.7500
Pb 0.0000 0.0000 0.3922
Pb 0.0000 0.0000 0.6078
Pb 0.5000 0.5000 0.1078
Pb 0.5000 0.5000 0.8922

Summary:
Total moment in μB/cell: 0.000
ρ in g cm⁻³: 9.62
E_form (uncorrected) in eV per atom: 0.724

---

Record 8
Compound: Ge3PbS
Source: Alexandria
Functional: GGA-PBE
Structure: optimized geometry

Unit cell a=5.4636 b=5.4636 c=5.4636 alpha=90.00 beta=90.00 gamma=90.00
Fractional positions:
Ge 0.0000 0.0000 0.5000
Ge 0.0000 0.5000 0.0000
Ge 0.5000 0.0000 0.0000
Pb 0.0000 0.0000 0.0000
S 0.5000 0.5000 0.5000

Summary:
Total moment in μB/cell: 0.000
ρ in g cm⁻³: 4.65
E_form (uncorrected) in eV per atom: 1.215

---

Record 9
Compound: NiSn2C2
Source: Alexandria
Functional: GGA-PBE
Structure: optimized geometry

Unit cell a=3.0626 b=3.0626 c=14.7027 alpha=90.00 beta=90.00 gamma=90.00
Fractional positions:
Ni 0.0000 0.0000 0.0000
Ni 0.5000 0.5000 0.5000
Sn 0.0000 0.0000 0.3851
Sn 0.0000 0.0000 0.6149
Sn 0.5000 0.5000 0.1149
Sn 0.5000 0.5000 0.8851
C 0.0000 0.5000 0.2500
C 0.0000 0.5000 0.7500
C 0.5000 0.0000 0.2500
C 0.5000 0.0000 0.7500

Summary:
Total moment in μB/cell: 0.000
Total energy in eV per atom: -4.927
ρ in g cm⁻³: 7.71

---

Record 10
Compound: K3ErO3
Source: Alexandria
Functional: GGA-PBE
Structure: optimized geometry

Unit cell a=7.1007 b=7.1007 c=6.9809 alpha=93.96 beta=93.96 gamma=117.04
Fractional positions:
K 0.2094 0.7906 0.0000
K 0.2591 0.7409 0.5000
K 0.3625 0.3625 0.1361
K 0.6375 0.6375 0.8639
K 0.7409 0.2591 0.5000
K 0.7906 0.2094 0.0000
Er 0.1829 0.1829 0.6476
Er 0.8171 0.8171 0.3524
O 0.1047 0.1047 0.3354
O 0.1747 0.4576 0.7682
O 0.4576 0.1747 0.7682
O 0.5424 0.8253 0.2318
O 0.8253 0.5424 0.2318
O 0.8953 0.8953 0.6646

Summary:
Total moment in μB/cell: 0.247
ρ in g cm⁻³: 3.55
E_form (uncorrected) in eV per atom: -1.975

---

Record 11
Compound: MnGaIrPd
Source: Alexandria
Functional: GGA-PBE
Structure: optimized geometry

Unit cell a=6.1423 b=6.1423 c=6.1423 alpha=90.00 beta=90.00 gamma=90.00
Fractional positions:
Mn 0.0000 0.0000 0.0000
Mn 0.0000 0.5000 0.5000
Mn 0.5000 0.0000 0.5000
Mn 0.5000 0.5000 0.0000
Ga 0.0000 0.0000 0.5000
Ga 0.0000 0.5000 0.0000
Ga 0.5000 0.0000 0.0000
Ga 0.5000 0.5000 0.5000
Ir 0.2500 0.2500 0.2500
Ir 0.2500 0.7500 0.7500
Ir 0.7500 0.2500 0.7500
Ir 0.7500 0.7500 0.2500
Pd 0.2500 0.2500 0.7500
Pd 0.2500 0.7500 0.2500
Pd 0.7500 0.2500 0.2500
Pd 0.7500 0.7500 0.7500

Summary:
Total moment in μB/cell: 17.070
Total energy in eV per atom: -6.946
ρ in g cm⁻³: 12.13

---

Record 12
Compound: CdIr2W
Source: Alexandria
Functional: GGA-PBE
Structure: optimized geometry

Unit cell a=2.7832 b=2.7832 c=8.3371 alpha=90.00 beta=90.00 gamma=90.00
Fractional positions:
Cd 0.0000 0.0000 0.0000
Ir 0.0000 0.0000 0.4870
Ir 0.5000 0.5000 0.2572
W 0.5000 0.5000 0.7201

Summary:
Total moment in μB/cell: 0.000
Total energy in eV per atom: -7.664
ρ in g cm⁻³: 17.50

---

Record 13
Compound: VCl
Source: Alexandria
Functional: GGA-PBE
Structure: optimized geometry

Unit cell a=3.9642 b=3.1343 c=6.5637 alpha=90.00 beta=95.66 gamma=90.00
Fractional positions:
V 0.2471 0.2500 0.0030
V 0.7529 0.7500 0.9970
Cl 0.2835 0.7500 0.7373
Cl 0.7165 0.2500 0.2627

Summary:
Total moment in μB/cell: 0.000
ρ in g cm⁻³: 3.54
E_form (uncorrected) in eV per atom: -0.383

---

Record 14
Compound: Ba3Tl4Sn2
Source: Alexandria
Functional: GGA-PBE
Structure: optimized geometry

Unit cell a=6.8728 b=6.8728 c=10.0230 alpha=105.72 beta=105.72 gamma=45.98
Fractional positions:
Ba 0.0000 0.0000 0.0000
Ba 0.3680 0.3680 0.3109
Ba 0.6320 0.6320 0.6891
Tl 0.0683 0.0683 0.3844
Tl 0.3024 0.3024 0.9490
Tl 0.6976 0.6976 0.0510
Tl 0.9317 0.9317 0.6156
Sn 0.3107 0.3107 0.6446
Sn 0.6893 0.6893 0.3554

Summary:
Total moment in μB/cell: 0.000
Total energy in eV per atom: -2.987
ρ in g cm⁻³: 7.49

---

Record 15
Compound: CeEr2HgN
Source: Alexandria
Functional: GGA-PBE
Structure: optimized geometry

Unit cell a=4.7893 b=4.7893 c=4.8318 alpha=90.00 beta=90.00 gamma=90.00
Fractional positions:
Ce 0.0000 0.0000 0.0000
Er 0.0000 0.5000 0.5000
Er 0.5000 0.0000 0.5000
Hg 0.5000 0.5000 0.0000
N 0.0000 0.0000 0.5000

Summary:
Total moment in μB/cell: 0.537
ρ in g cm⁻³: 10.33
E_form (uncorrected) in eV per atom: -0.837

---

Record 16
Compound: DyTm3Cu4
Source: Alexandria
Functional: GGA-PBE
Structure: optimized geometry

Unit cell a=3.4155 b=4.8612 c=9.7185 alpha=90.00 beta=90.00 gamma=90.00
Fractional positions:
Dy 0.0000 0.0000 0.0000
Tm 0.0000 0.0000 0.5000
Tm 0.0000 0.5000 0.2510
Tm 0.0000 0.5000 0.7490
Cu 0.5000 0.0000 0.2528
Cu 0.5000 0.0000 0.7472
Cu 0.5000 0.5000 0.0000
Cu 0.5000 0.5000 0.5000

Summary:
Total moment in μB/cell: 0.000
Total energy in eV per atom: -4.581
ρ in g cm⁻³: 9.50

---

Record 17
Compound: AcPr5Bi4
Source: Alexandria
Functional: GGA-PBE
Structure: optimized geometry

Unit cell a=10.8888 b=11.1844 c=6.3061 alpha=90.00 beta=90.00 gamma=90.00
Fractional positions:
Ac 0.2500 0.2500 0.0000
Ac 0.7500 0.7500 0.0000
Pr 0.0000 0.0002 0.2516
Pr 0.0000 0.9998 0.7484
Pr 0.0000 0.4998 0.2516
Pr 0.0000 0.5002 0.7484
Pr 0.2500 0.7500 0.4992
Pr 0.5000 0.0002 0.2516
Pr 0.5000 0.9998 0.7484
Pr 0.5000 0.4998 0.2516
Pr 0.5000 0.5002 0.7484
Pr 0.7500 0.2500 0.5008
Bi 0.0657 0.2500 0.5007
Bi 0.2500 0.5817 0.0002
Bi 0.2500 0.9183 0.0002
Bi 0.4343 0.2500 0.5007
Bi 0.5657 0.7500 0.4993
Bi 0.7500 0.0817 0.9998
Bi 0.7500 0.4183 0.9998
Bi 0.9343 0.7500 0.4993

Summary:
Total moment in μB/cell: 0.000
Total energy in eV per atom: -4.817
ρ in g cm⁻³: 7.64

---

Record 18
Compound: CaAsBr3
Source: Alexandria
Functional: GGA-PBE
Structure: optimized geometry

Unit cell a=5.4567 b=5.4567 c=5.4567 alpha=90.00 beta=90.00 gamma=90.00
Fractional positions:
Ca 0.0000 0.0000 0.0000
As 0.5000 0.5000 0.5000
Br 0.0000 0.5000 0.5000
Br 0.5000 0.0000 0.5000
Br 0.5000 0.5000 0.0000

Summary:
Total moment in μB/cell: 0.003
ρ in g cm⁻³: 3.63
E_form (uncorrected) in eV per atom: -0.465

---

Record 19
Compound: CuBi2Os
Source: Alexandria
Functional: GGA-PBE
Structure: optimized geometry

Unit cell a=6.3187 b=6.3187 c=11.5736 alpha=90.00 beta=90.00 gamma=90.00
Fractional positions:
Cu 0.0000 0.0000 0.0000
Cu 0.0000 0.5000 0.2500
Cu 0.5000 0.0000 0.7500
Cu 0.5000 0.5000 0.5000
Bi 0.2449 0.2500 0.6250
Bi 0.2500 0.7449 0.8750
Bi 0.2500 0.7551 0.3750
Bi 0.2551 0.2500 0.1250
Bi 0.7449 0.7500 0.1250
Bi 0.7500 0.2449 0.3750
Bi 0.7500 0.2551 0.8750
Bi 0.7551 0.7500 0.6250
Os 0.0000 0.0000 0.5000
Os 0.0000 0.5000 0.7500
Os 0.5000 0.0000 0.2500
Os 0.5000 0.5000 0.0000

Summary:
Total moment in μB/cell: 0.000
Total energy in eV per atom: -4.885
ρ in g cm⁻³: 9.66

---

Record 20
Compound: PrEr4Tl
Source: Alexandria
Functional: GGA-PBE
Structure: optimized geometry

Unit cell a=3.5907 b=3.5907 c=14.1892 alpha=90.00 beta=90.00 gamma=90.00
Fractional positions:
Pr 0.0000 0.0000 0.0000
Er 0.0000 0.0000 0.3524
Er 0.0000 0.0000 0.6476
Er 0.5000 0.5000 0.1807
Er 0.5000 0.5000 0.8193
Tl 0.5000 0.5000 0.5000

Summary:
Total moment in μB/cell: 0.000
Total energy in eV per atom: -4.333
ρ in g cm⁻³: 9.21

---

Record 21
Compound: YTi3F
Source: Alexandria
Functional: GGA-PBE
Structure: optimized geometry

Unit cell a=4.4508 b=4.4508 c=4.4508 alpha=90.00 beta=90.00 gamma=90.00
Fractional positions:
Y 0.0000 0.0000 0.0000
Ti 0.0000 0.5000 0.5000
Ti 0.5000 0.0000 0.5000
Ti 0.5000 0.5000 0.0000
F 0.5000 0.5000 0.5000

Summary:
Total moment in μB/cell: 0.000
ρ in g cm⁻³: 4.74
E_form (uncorrected) in eV per atom: -0.444

---

Record 22
Compound: POs
Source: Alexandria
Functional: GGA-PBE
Structure: optimized geometry

Unit cell a=4.9113 b=4.9113 c=4.9113 alpha=90.00 beta=90.00 gamma=90.00
Fractional positions:
P 0.0000 0.0000 0.0000
P 0.0000 0.5000 0.5000
P 0.5000 0.0000 0.5000
P 0.5000 0.5000 0.0000
Os 0.0000 0.0000 0.5000
Os 0.0000 0.5000 0.0000
Os 0.5000 0.0000 0.0000
Os 0.5000 0.5000 0.5000

Summary:
Total moment in μB/cell: 2.724
Total energy in eV per atom: -7.695
ρ in g cm⁻³: 12.40

---

Record 23
Compound: AlCdW2
Source: Alexandria
Functional: GGA-PBE
Structure: optimized geometry

Unit cell a=9.5345 b=2.7569 c=5.1609 alpha=90.00 beta=96.31 gamma=90.00
Fractional positions:
Al 0.0000 0.0000 0.0000
Al 0.5000 0.5000 0.0000
Cd 0.2546 0.5000 0.2331
Cd 0.7546 0.0000 0.2331
W 0.0061 0.5000 0.5148
W 0.2619 0.0000 0.7353
W 0.5061 0.0000 0.5148
W 0.7619 0.5000 0.7353

Summary:
Total moment in μB/cell: 0.000
Total energy in eV per atom: -7.241
ρ in g cm⁻³: 12.49

---

Record 24
Compound: NaCdHg3
Source: Alexandria
Functional: GGA-PBE
Structure: optimized geometry

Unit cell a=5.6381 b=5.6381 c=5.6381 alpha=90.00 beta=90.00 gamma=90.00
Fractional positions:
Na 0.0000 0.0000 0.0000
Cd 0.5000 0.5000 0.5000
Hg 0.0000 0.5000 0.5000
Hg 0.5000 0.0000 0.5000
Hg 0.5000 0.5000 0.0000

Summary:
Total moment in μB/cell: 0.000
Total energy in eV per atom: -0.576
ρ in g cm⁻³: 6.83

---

Record 25
Compound: ZrZnPt
Source: Alexandria
Functional: GGA-PBE
Structure: optimized geometry

Unit cell a=4.3681 b=9.1008 c=5.3626 alpha=90.00 beta=90.00 gamma=90.00
Fractional positions:
Zr 0.0000 0.2018 0.2500
Zr 0.0000 0.7982 0.7500
Zr 0.5000 0.2982 0.7500
Zr 0.5000 0.7018 0.2500
Zn 0.0000 0.5000 0.0000
Zn 0.0000 0.5000 0.5000
Zn 0.5000 0.0000 0.0000
Zn 0.5000 0.0000 0.5000
Pt 0.0000 0.1107 0.7500
Pt 0.0000 0.8893 0.2500
Pt 0.5000 0.3893 0.2500
Pt 0.5000 0.6107 0.7500

Summary:
Total moment in μB/cell: 0.000
Total energy in eV per atom: -6.117
ρ in g cm⁻³: 10.96

---

Record 26
Compound: Ba2NaSb2
Source: Alexandria
Functional: GGA-PBE
Structure: optimized geometry

Unit cell a=4.6476 b=4.6476 c=21.0769 alpha=90.00 beta=90.00 gamma=90.00
Fractional positions:
Ba 0.0000 0.0000 0.1255
Ba 0.0000 0.0000 0.8745
Ba 0.5000 0.5000 0.3745
Ba 0.5000 0.5000 0.6255
Na 0.0000 0.0000 0.5000
Na 0.5000 0.5000 0.0000
Sb 0.0000 0.5000 0.2500
Sb 0.0000 0.5000 0.7500
Sb 0.5000 0.0000 0.2500
Sb 0.5000 0.0000 0.7500

Summary:
Total moment in μB/cell: 0.000
ρ in g cm⁻³: 3.95
E_form (uncorrected) in eV per atom: -0.390